[1]
K2InRh: single point on PBEsol structure, SCAN.

a b c (Å): 5.158 5.158 5.158
angles (deg): 60.00 60.00 60.00
Element x y z (fractional)
K1 0.750 0.750 0.750
K2 0.000 0.000 0.000
Rh1 0.250 0.250 0.250
In1 0.500 0.500 0.500

**VASP energy**: -20.652 eV/atom
**ΔE_f**: 0.302 eV per atom
**Space group**: F-43m, No. 216
**Size of the total moment**: 0.0 μB/f.u.
**ρ**: 5.1 g/cm3

[2]
FeRuSe2: single point on PBEsol structure, SCAN.

a b c (Å): 3.034 3.034 6.128
angles (deg): 90.00 90.00 90.00
Site moments in Bohr magnetons follow the coordinates.
Element x y z (fractional)
Se1 0.000 0.000 0.242  0.00
Se2 0.000 0.000 0.758  0.00
Ru1 0.500 0.500 0.500  0.20
Fe1 0.500 0.500 0.000  2.80

**VASP energy**: -22.981 eV/atom
**Distance to the lowest polymorph of the same formula**: 493 meV per atom
**Space group**: P4/mmm, No. 123
**Formation energy without anion corrections**: 115 kJ/mol of formula units
**Size of the total moment**: 2.9 μB/f.u.
**ρ**: 9.3 g/cm3

size of the total moment of number 1 (K2InRh)? 0.0 μB/f.u.

What is the size of the total moment in the second record? 2.9 μB/f.u.

Which of these has the lowest VASP energy? FeRuSe2

What did the second record say?
FeRuSe2: single point on PBEsol structure, SCAN.

a b c (Å): 3.034 3.034 6.128
angles (deg): 90.00 90.00 90.00
Site moments in Bohr magnetons follow the coordinates.
Element x y z (fractional)
Se1 0.000 0.000 0.242  0.00
Se2 0.000 0.000 0.758  0.00
Ru1 0.500 0.500 0.500  0.20
Fe1 0.500 0.500 0.000  2.80

**VASP energy**: -22.981 eV/atom
**Distance to the lowest polymorph of the same formula**: 493 meV per atom
**Space group**: P4/mmm, No. 123
**Formation energy without anion corrections**: 115 kJ/mol of formula units
**Size of the total moment**: 2.9 μB/f.u.
**ρ**: 9.3 g/cm3